PrDy2Ho5 after structural relaxation, computed with GGA-PBE.

Cell and atoms, written as POSCAR:
```
PrDy2Ho5
1.0
-4.9849 0.3041 -0.4001
-0.7052 -5.0792 4.9248
-0.2135 9.9160 10.1963
Pr Dy Ho
2 4 10
Cartesian
-0.1067 4.9580 5.0982
-0.3526 -2.5396 2.4624
-2.8032 5.0845 7.4197
-3.1004 0.0565 7.3012
-2.6949 0.1376 2.3109
-3.2087 5.0034 12.4101
0.0000 0.0000 0.0000
-0.4593 2.4184 7.5606
-0.5125 4.8831 10.0965
-0.4061 -0.0462 5.0246
-0.7582 -2.6129 7.4592
-0.1605 7.4497 7.6620
-2.8548 7.5520 9.9380
-3.0488 -2.4110 4.7830
-2.7491 2.5861 4.8475
-3.1545 2.5549 9.8735
```

Summary:
E above lowest polymorph, meV per atom: 0
ΔE_f, eV per formula unit: 0.15
SG: Pbam, No. 55
Energy, eV per atom: -4.5905
Calculated density, g/cm³: 8.5

LiZrP2S after structural relaxation, computed with GGA-PBE.

Cell and atoms, written as POSCAR:
```
LiZrP2S
1.0
-2.2520 -0.5425 4.4945
0.2343 -5.0272 -0.4895
4.4855 -0.0097 2.2464
P S Zr Li
2 1 1 1
Cartesian
0.1171 -2.5136 -0.2447
-1.1260 -0.2713 2.2473
2.2428 -0.0049 1.1232
0.0000 0.0000 0.0000
1.2339 -2.7897 3.1257
```

Summary:
E above lowest polymorph, meV per atom: 0
Uncorrected formation energy, eV/atom: -0.16
SG: P4/mmm, No. 123
Energy, eV per atom: -5.2396
Calculated density, g/cm³: 2.5

LaMo2Ir after structural relaxation, computed with GGA-PBE.

Cell and atoms, written as POSCAR:
```
LaMo2Ir
1.0
-5.5741 -0.0420 0.3945
3.1675 -1.5175 4.3466
-0.3451 2.3318 1.6338
Ir La Mo
1 1 2
Cartesian
-2.9596 1.1449 1.0141
1.4112 0.4072 2.9902
0.0000 0.0000 0.0000
-1.2033 -0.7797 2.3705
```

Summary:
E above lowest polymorph, meV per atom: 270
ΔE_f, eV per formula unit: 1.65
SG: C2/m, No. 12
Energy, eV per atom: -8.4494
Calculated density, g/cm³: 11.8

Dy12Ni6Te after structural relaxation, computed with GGA-PBE.

Cell and atoms, written as POSCAR:
```
Dy12Ni6Te
1.0
0.5239 1.0216 -8.3656
4.3979 -6.8377 2.2815
-8.0885 -0.9879 2.2139
Dy Ni Te
12 6 1
Cartesian
-5.8760 -1.3055 -0.5085
0.8213 -3.2674 -1.0279
-3.9880 -3.5366 -2.8424
2.7093 -5.4985 -3.3617
1.1389 -5.7311 1.5322
-1.4038 -1.0858 -3.0426
-1.7629 -5.7182 -0.8276
-4.3056 -1.0729 -5.4024
0.8122 -1.3966 -5.8207
-2.5631 -2.4055 0.2260
-0.6035 -4.3985 -4.0962
-3.9789 -5.4074 1.9505
-4.6899 -3.9001 -0.0656
1.5232 -2.9039 -3.8046
1.0731 -5.8508 -1.3516
-4.2398 -0.9532 -2.5186
-1.9315 -2.1703 -5.3637
-1.2352 -4.6337 1.4935
0.0000 0.0000 0.0000
```

Summary:
Uncorrected formation energy, eV/atom: -0.43
SG: Im-3, No. 204
Energy, eV per atom: -5.3235
Calculated density, g/cm³: 8.7

NiPb after structural relaxation, computed with GGA-PBE.

Cell and atoms, written as POSCAR:
```
NiPb
1.0
3.3915 0.0000 0.0000
0.0000 5.2818 0.0000
0.0000 0.0000 4.3373
Ni Pb
2 2
Cartesian
0.0000 0.0000 0.3114
1.6957 2.6409 3.3030
1.6957 0.0000 2.5147
0.0000 2.6409 1.0997
```

Summary:
ΔE_f, eV per formula unit: 0.65
SG: Pmmn, No. 59
Energy, eV per atom: -4.4196
Calculated density, g/cm³: 11.4

La2PmNd5Sm after structural relaxation, computed with GGA-PBE.

Cell and atoms, written as POSCAR:
```
La2PmNd5Sm
1.0
8.8145 0.0000 0.0000
0.0000 8.8145 0.0000
-4.4073 -4.4073 8.2199
La Pm Nd Sm
4 2 10 2
Cartesian
1.0554 3.3519 0.0000
5.4626 1.0554 0.0000
3.3519 7.7591 0.0000
7.7591 5.4626 0.0000
0.0000 0.0000 4.1100
4.4073 4.4073 4.1100
6.9202 2.5129 2.3391
2.5129 -1.8944 5.8808
-2.5129 1.8944 5.8808
-1.8944 -2.5129 5.8808
1.8944 2.5129 5.8808
6.3016 6.9202 2.3391
2.5129 1.8944 2.3391
1.8944 6.3016 2.3391
4.4073 4.4073 0.0000
0.0000 0.0000 0.0000
0.0000 4.4073 4.1100
4.4073 0.0000 4.1100
```

Summary:
ΔE_f, eV per formula unit: 2.13
SG: I4/mcm, No. 140
Energy, eV per atom: -4.5596
Calculated density, g/cm³: 6.7

Sc2OsRu after structural relaxation, computed with GGA-PBE.

Cell and atoms, written as POSCAR:
```
Sc2OsRu
1.0
2.9351 0.0000 0.0000
0.0000 4.3432 0.0000
0.0000 0.0000 5.3759
Os Ru Sc
1 1 2
Cartesian
0.0000 0.0000 2.5982
1.4676 2.1716 4.1062
0.0000 0.0000 5.2057
1.4676 2.1716 1.5297
```

Summary:
ΔE_f, eV per formula unit: -0.38
SG: Pmm2, No. 25
Energy, eV per atom: -8.3873
Calculated density, g/cm³: 9.2

Look up the energy of the sixth one.
-4.5596 eV per atom